1.
## Dy2HoPu (PBE)

Data for a geometry-optimized Dy2HoPu structure.

Summary:
For the polymorph energy (0 for the lowest one), the calculation gives 165 meV per atom. The value obtained for the density is 9.75 g/cm3.

abc: 3.4390 3.4390 36.5959
angles: 90.00 90.00 120.00
Space group R-3m (No. 166, hexagonal axes)
Asymmetric unit:
Dy 0.0000 0.0000 0.0890 x6
Ho 0.0000 0.0000 0.5000 x3
Pu 0.0000 0.0000 0.0000 x3

2.
## Dy3Ho2Pu (PBE)

Data for a geometry-optimized Dy3Ho2Pu structure.

Summary:
For the energy, the calculation gives -134.63 eV/cell. The value obtained for the density is 8.33 g/cm3.

abc: 11.3368 11.9569 6.2432
angles: 90.00 90.00 90.00
Space group Ibam (No. 72)
Asymmetric unit:
Dy 0.0000 0.0000 0.2500 x4
Dy 0.0000 0.2671 0.2500 x8
Ho 0.2464 0.0992 0.0000 x8
Pu 0.0000 0.5000 0.0000 x4

3.
## Dy4Ho5Pu (PBE)

Data for a geometry-optimized Dy4Ho5Pu structure.

Summary:
For the polymorph energy (0 for the lowest one), the calculation gives 0 meV per atom. The value obtained for the density is 9.05 g/cm3.

abc: 10.8040 10.8040 5.4042
angles: 90.00 90.00 90.00
Space group I4mm (No. 107)
Asymmetric unit:
Dy 0.0000 0.3249 0.0000 x8
Ho 0.0000 0.0000 0.9986 x2
Ho 0.1841 0.1841 0.4999 x8
Pu 0.0000 0.0000 0.4983 x2